Density functional theory data (GGA-PBEsol) for a relaxed Cu2NiPt crystal.

CIF file:
```
data_Cu2NiPt
_symmetry_space_group_name_H-M 'P 1'
_symmetry_Int_Tables_number 1
_symmetry_space_group_name_Hall 'P 1'
_cell_length_a 8.475
_cell_length_b 2.651
_cell_length_c 4.411
_cell_angle_alpha 90.00
_cell_angle_beta 101.58
_cell_angle_gamma 90.00
loop_
_atom_site_label
_atom_site_type_symbol
_atom_site_fract_x
_atom_site_fract_y
_atom_site_fract_z
Cu1 Cu 0.000 0.000 0.000
Cu2 Cu 0.249 0.500 0.231
Cu3 Cu 0.500 0.500 0.000
Cu4 Cu 0.749 0.000 0.231
Ni1 Ni 0.253 0.000 0.743
Ni2 Ni 0.753 0.500 0.743
Pt1 Pt 0.004 0.500 0.504
Pt2 Pt 0.504 0.000 0.504
```

## Properties
* total DFT energy (no corrections): -5.49 eV per atom
* V: 49 Å³/f.u.
* density of states at the Fermi level: 9.04 states/eV per cell
* calculated formation energy: -0.045 eV/atom

Density functional theory data (GGA-PBEsol) for a relaxed CuNiPt crystal.

CIF file:
```
data_CuNiPt
_symmetry_space_group_name_H-M 'P 1'
_symmetry_Int_Tables_number 1
_symmetry_space_group_name_Hall 'P 1'
_cell_length_a 2.650
_cell_length_b 3.593
_cell_length_c 7.792
_cell_angle_alpha 90.00
_cell_angle_beta 90.00
_cell_angle_gamma 90.00
loop_
_atom_site_label
_atom_site_type_symbol
_atom_site_fract_x
_atom_site_fract_y
_atom_site_fract_z
Cu1 Cu 0.000 0.000 0.000
Cu2 Cu 0.500 0.500 0.500
Ni1 Ni 0.000 0.000 0.338
Ni2 Ni 0.500 0.500 0.838
Pt1 Pt 0.000 0.000 0.671
Pt2 Pt 0.500 0.500 0.171
```

## Properties
* total DFT energy (no corrections): -5.87 eV per atom
* E above lowest polymorph: 0.000 eV/atom
* V: 37 Å³/f.u.
* density of states at the Fermi level: 8.63 states/eV per cell
* calculated formation energy: -0.051 eV/atom

Density functional theory data (GGA-PBEsol) for a relaxed Cu2NiPt crystal.

CIF file:
```
data_Cu2NiPt
_symmetry_space_group_name_H-M 'P 1'
_symmetry_Int_Tables_number 1
_symmetry_space_group_name_Hall 'P 1'
_cell_length_a 2.662
_cell_length_b 2.662
_cell_length_c 6.807
_cell_angle_alpha 90.00
_cell_angle_beta 90.00
_cell_angle_gamma 90.00
loop_
_atom_site_label
_atom_site_type_symbol
_atom_site_fract_x
_atom_site_fract_y
_atom_site_fract_z
Cu1 Cu 0.000 0.000 0.000
Cu2 Cu 0.500 0.500 0.237
Ni1 Ni 0.000 0.000 0.469
Pt1 Pt 0.500 0.500 0.730
```

## Properties
* total DFT energy (no corrections): -5.48 eV per atom
* V: 48 Å³/f.u.
* density of states at the Fermi level: 5.05 states/eV per cell
* calculated formation energy: -0.036 eV/atom